[1]
Density functional theory data (PBE) for PmSm3Pb2 after structural relaxation.

```
PmSm3Pb2
1.0
-3.509 -3.621 -5.680
-1.690 -5.809 4.747
-3.788 8.057 2.283
Pb Sm Pm
4 6 2
Cartesian
-4.774 0.151 4.713
-4.213 -1.523 -3.364
-5.214 1.729 0.259
-3.773 -3.101 1.090
-5.021 1.572 -2.978
-2.177 -3.262 -1.653
-3.022 -6.167 0.720
-5.867 -1.332 -0.605
-3.966 -2.945 4.327
-3.121 -0.040 1.954
0.000 0.000 0.000
-0.845 -2.904 2.373
```

Results
Relative energy among the computed polymorphs ... 0.2508 eV per atom
Formation energy ... -0.187 eV per atom



[2]
Density functional theory data (PBE) for Mg2AlRh after structural relaxation.

```
Mg2AlRh
1.0
-0.722 -2.477 -3.416
-1.363 -2.082 1.798
-5.362 1.356 0.149
Al Mg Rh
1 2 1
Cartesian
-5.081 -1.430 -0.572
-2.322 -1.452 -1.139
-6.484 -0.674 1.859
-3.646 -0.735 1.303
```

Results
Formation energy ... -0.373 eV per atom



[3]
Density functional theory data (PBE) for Hf2IrPt2 after structural relaxation.

```
Hf2IrPt2
1.0
7.389 0.000 0.000
0.000 7.389 0.000
0.000 0.000 3.290
Hf Ir Pt
4 2 4
Cartesian
2.410 1.285 1.645
1.285 4.979 1.645
6.104 2.410 1.645
4.979 6.104 1.645
0.000 0.000 0.000
3.695 3.695 0.000
6.424 4.659 0.000
2.730 6.424 0.000
0.965 2.730 0.000
4.659 0.965 0.000
```

Results
Formation energy ... -0.860 eV per atom



[4]
Density functional theory data (PBE) for K2CaZnSb2 after structural relaxation.

```
K2CaZnSb2
1.0
7.054 0.000 0.000
0.000 7.252 0.000
-3.527 -3.626 8.087
K Ca Sb Zn
4 2 4 2
Cartesian
-1.651 0.000 5.230
1.876 0.000 2.857
1.651 3.626 5.230
5.178 3.626 2.857
0.000 5.439 0.000
0.000 1.813 0.000
5.084 0.000 1.575
1.970 3.626 1.575
-1.557 3.626 6.512
1.557 0.000 6.512
3.527 1.813 0.000
3.527 5.439 0.000
```

Results
Raw total energy ... -2.86 eV per atom



[5]
Density functional theory data (PBE) for ZrGa2Rh2 after structural relaxation.

```
ZrGa2Rh2
1.0
3.664 0.000 0.000
0.000 3.664 0.000
1.832 1.832 6.295
Rh Ga Zr
2 2 1
Cartesian
1.832 1.832 1.326
3.664 3.664 4.969
1.832 3.664 3.148
3.664 1.832 3.148
0.000 0.000 0.000
```

Results
Formation energy ... -0.557 eV per atom



[6]
Density functional theory data (PBE) for SiTe2Cl after structural relaxation.

```
SiTe2Cl
1.0
1.892 0.000 10.343
-0.946 1.638 10.343
-0.946 -1.638 10.343
Te Cl Si
2 1 1
Cartesian
0.000 0.000 2.646
0.000 0.000 28.383
0.000 0.000 15.515
0.000 0.000 0.000
```

Results
Relative energy among the computed polymorphs ... 0.4223 eV per atom



[7]
Density functional theory data (PBE) for DyTaRh2 after structural relaxation.

```
DyTaRh2
1.0
4.666 0.000 0.000
2.333 4.041 0.000
2.333 1.347 3.810
Dy Ta Rh
1 1 2
Cartesian
0.000 0.000 0.000
4.666 2.694 1.905
2.333 1.347 0.952
6.999 4.041 2.857
```

Results
Relative energy among the computed polymorphs ... 0.1377 eV per atom
Formation energy ... -0.464 eV per atom



[8]
Density functional theory data (PBE) for Np3Cr5S12 after structural relaxation.

```
Np3Cr5S12
1.0
12.815 0.000 0.000
-4.272 12.082 0.000
-4.272 -6.041 10.464
S Np Cr
48 12 20
Cartesian
-5.260 3.218 7.428
0.106 3.954 4.311
9.122 6.037 1.848
8.028 0.686 4.884
7.555 -4.238 9.195
0.515 7.593 7.080
-1.148 -3.218 7.428
-0.579 4.439 0.921
-0.988 7.061 4.305
3.756 -1.552 3.384
3.124 5.021 4.305
5.892 6.727 5.580
6.514 3.351 3.963
5.419 1.803 1.269
5.419 9.259 3.036
2.715 4.443 0.927
4.787 5.175 8.267
1.620 4.490 7.080
-2.242 -4.777 10.115
-3.284 10.279 1.269
4.851 -1.599 9.536
-0.579 7.640 0.927
-1.557 -0.004 8.615
-2.242 2.690 6.501
2.715 7.643 0.921
1.557 1.599 9.536
2.651 1.552 3.384
4.851 1.602 9.543
1.148 1.020 6.159
2.242 -2.087 6.153
-1.620 -0.686 4.884
9.532 2.823 3.036
-0.515 0.866 2.196
-4.378 8.731 3.963
-3.756 5.356 5.580
-1.148 4.238 9.195
5.829 6.045 1.848
8.650 -2.690 6.501
6.514 10.818 0.348
4.165 2.087 6.153
-2.651 6.907 8.267
5.260 -1.020 6.159
6.923 -0.866 2.196
-4.165 4.777 10.115
1.557 -1.602 9.543
-4.851 0.004 8.615
8.437 1.264 0.348
2.030 8.128 4.311
1.068 -0.755 3.924
-3.204 2.265 9.156
1.068 6.041 2.616
3.204 6.796 6.540
-5.340 6.041 7.848
-3.204 -2.265 9.156
7.476 8.307 1.308
5.340 0.755 3.924
7.476 3.776 1.308
-1.068 5.286 6.540
9.611 0.000 2.616
3.204 0.000 7.848
1.068 3.776 9.156
-1.068 3.021 2.616
7.476 -0.755 6.540
-3.204 6.796 3.924
-2.136 -3.021 5.232
-1.068 0.755 6.540
6.408 0.000 0.000
5.340 5.286 3.924
4.272 6.041 0.000
0.000 0.000 0.000
1.068 -3.021 7.848
-1.068 9.817 1.308
5.340 3.021 7.848
3.204 9.062 2.616
3.204 2.265 1.308
4.272 -3.021 5.232
-2.136 6.041 0.000
5.340 -3.776 9.156
-4.272 3.021 5.232
2.136 3.021 5.232
```

Results
Raw total energy ... -7.72 eV per atom



[9]
Density functional theory data (PBE) for La2In2SnRh5 after structural relaxation.

```
La2In2SnRh5
1.0
3.734 0.000 0.000
0.000 10.384 0.000
0.000 0.000 10.384
In Sn Rh La
4 2 10 4
Cartesian
0.000 3.875 1.316
0.000 9.067 3.875
0.000 1.316 6.508
0.000 6.508 9.067
0.000 5.192 5.192
0.000 0.000 0.000
1.867 7.243 4.562
1.867 0.000 5.192
1.867 2.051 0.629
1.867 5.821 7.243
1.867 9.754 2.051
1.867 3.140 5.821
1.867 0.629 8.332
1.867 8.332 9.754
1.867 4.562 3.140
1.867 5.192 0.000
0.000 3.412 8.604
0.000 8.604 6.972
0.000 6.972 1.780
0.000 1.780 3.412
```

Results
Formation energy ... -0.504 eV per atom



[10]
Density functional theory data (PBE) for RbTl3C after structural relaxation.

```
RbTl3C
1.0
-4.621 2.524 -0.776
-2.374 -4.655 -1.009
-1.157 -0.530 5.168
Tl Rb C
3 1 1
Cartesian
-2.310 1.262 -0.388
-1.187 -2.328 -0.504
-0.579 -0.265 2.584
-4.076 -1.330 1.691
0.000 0.000 0.000
```

Results
Relative energy among the computed polymorphs ... 0.0000 eV per atom
Formation energy ... 0.871 eV per atom



[11]
Density functional theory data (PBE) for AcY6Ho5 after structural relaxation.

```
AcY6Ho5
1.0
11.796 -1.401 0.000
1.795 5.949 0.000
0.897 2.975 5.379
Y Ac Ho
6 1 5
Cartesian
5.240 7.064 3.570
9.249 0.459 1.809
3.454 1.141 0.000
4.343 4.089 1.809
10.146 3.434 3.570
10.137 3.407 0.000
0.000 0.000 0.000
6.796 2.274 0.000
7.693 5.249 1.797
1.795 5.949 3.586
6.796 2.274 3.582
0.897 2.975 1.793
```

Results
Formation energy ... 0.034 eV per atom



[12]
Density functional theory data (PBE) for KCaAg2 after structural relaxation.

```
KCaAg2
1.0
-0.155 -4.853 2.497
-3.673 -0.932 3.931
-4.168 -3.407 -0.911
K Ag Ca
1 2 1
Cartesian
0.000 0.000 0.000
-1.999 -2.298 1.379
-5.997 -6.893 4.137
-3.998 -4.596 2.758
```

Results
Relative energy among the computed polymorphs ... 0.1119 eV per atom
Formation energy ... -0.024 eV per atom



[13]
Density functional theory data (PBE) for Pr2Y4Tm3 after structural relaxation.

```
Pr2Y4Tm3
1.0
5.800 1.691 1.211
2.249 11.044 0.733
2.249 4.253 10.218
Tm Y Pr
6 8 4
Cartesian
6.599 8.257 7.305
2.264 3.639 1.190
8.034 13.348 10.972
5.165 3.145 3.667
5.134 13.842 8.496
3.699 8.731 4.857
1.758 3.565 4.516
5.641 10.718 9.637
2.505 9.500 1.640
5.405 5.459 9.070
4.893 11.528 3.092
7.793 7.487 10.522
8.541 13.422 7.646
4.658 6.270 2.525
4.141 5.506 6.049
3.257 8.641 8.293
6.157 11.481 6.114
7.041 8.346 3.869
```

Results
Formation energy ... 0.091 eV per atom



[14]
Density functional theory data (PBE) for Zn2CrSe after structural relaxation.

```
Zn2CrSe
1.0
-1.106 -2.403 0.169
2.040 -0.567 -1.595
5.385 -1.946 7.582
Cr Zn Se
1 2 1
Cartesian
1.814 -1.971 1.183
0.277 -0.100 0.390
2.416 -0.873 3.401
4.506 -2.944 4.974
```

Results
Raw total energy ... -3.60 eV per atom



[15]
Density functional theory data (PBE) for MnZnP after structural relaxation.

```
MnZnP
1.0
3.834 0.000 0.000
0.000 3.834 0.000
0.000 0.000 5.449
Mn P Zn
2 2 2
Cartesian
1.917 1.917 2.724
0.000 0.000 2.724
1.917 0.000 3.969
0.000 1.917 1.480
0.000 1.917 4.546
1.917 0.000 0.902
```

Results
Formation energy ... -0.283 eV per atom



[16]
Density functional theory data (PBE) for PuAl3Au4 after structural relaxation.

```
PuAl3Au4
1.0
4.386 -0.001 0.000
-0.001 4.386 0.000
0.000 0.000 8.240
Au Al Pu
4 3 1
Cartesian
0.000 2.193 1.498
2.193 0.000 6.742
0.000 2.193 6.742
2.193 0.000 1.498
0.000 0.000 0.000
2.193 2.193 5.393
2.193 2.193 2.847
0.000 0.000 4.120
```

Results
Formation energy ... -0.401 eV per atom



[17]
Density functional theory data (PBE) for CuAsPd2 after structural relaxation.

```
CuAsPd2
1.0
-0.158 3.034 0.084
-3.577 -0.258 2.603
2.605 0.036 3.585
Pd Cu As
2 1 1
Cartesian
-1.789 -0.129 1.301
1.303 0.018 1.792
-0.079 1.517 0.042
-0.565 1.406 3.136
```

Results
Formation energy ... -0.173 eV per atom



[18]
Density functional theory data (PBE) for SiMoBr after structural relaxation.

```
SiMoBr
1.0
-3.403 -0.240 2.831
0.398 -2.328 3.752
0.208 2.099 3.900
Si Br Mo
1 1 1
Cartesian
0.000 0.000 0.000
-1.398 -0.235 5.241
-2.097 -0.353 7.862
```

Results
Relative energy among the computed polymorphs ... 1.0182 eV per atom



[19]
Density functional theory data (PBE) for ThScBeGa after structural relaxation.

```
ThScBeGa
1.0
4.902 0.000 0.000
2.451 4.245 0.000
2.451 1.415 4.002
Be Th Ga Sc
1 1 1 1
Cartesian
7.353 4.245 3.002
0.000 0.000 0.000
2.451 1.415 1.001
4.902 2.830 2.001
```

Results
Formation energy ... -0.182 eV per atom



[20]
Density functional theory data (PBE) for PrAg2IrO6 after structural relaxation.

```
PrAg2IrO6
1.0
5.760 0.000 -0.079
0.000 5.752 0.000
-0.062 0.000 8.322
O Ag Ir Pr
12 4 2 2
Cartesian
4.537 4.890 4.460
2.324 5.453 5.970
4.877 4.566 7.827
5.236 3.176 1.769
0.821 1.187 0.416
1.161 0.862 3.784
3.670 1.690 4.537
2.028 4.063 3.706
4.010 2.014 7.905
1.688 3.739 0.338
0.462 2.576 6.474
3.373 0.300 2.274
2.903 2.759 2.039
-0.008 0.117 6.239
5.706 5.635 2.004
2.794 2.993 6.204
0.000 2.876 0.000
2.849 0.000 4.122
2.880 0.000 -0.039
-0.031 2.876 4.161
```

Results
Raw total energy ... -5.97 eV per atom